Entry 1:
A plane-wave DFT calculation with PBE-GGA was carried out for a relaxed AcTm3 crystal.

a = 3.709 Å, b = 5.782 Å, c = 6.273 Å
α = 90.00°, β = 90.00°, γ = 90.00°
Sites, in units of the cell vectors:
1 Ac 0.000 0.000 0.000
2 Tm 0.000 0.500 0.654
3 Tm 0.500 0.000 0.496
4 Tm 0.500 0.500 0.169

Calculated values
ΔE_f   0.073 eV per atom
DOS at the Fermi energy   1.730 states/eV/atom
Total magnetic moment   0.00 μB per cell
Space group   No. 25

***

Entry 2:
A plane-wave DFT calculation with PBE-GGA was carried out for a relaxed Pm2GeN crystal.

a = 3.500 Å, b = 3.500 Å, c = 7.617 Å
α = 90.00°, β = 90.00°, γ = 90.00°
Sites, in units of the cell vectors:
1 Pm 0.000 0.000 0.000
2 Pm 0.500 0.500 0.380
3 Ge 0.000 0.000 0.609
4 N 0.500 0.500 0.074

Calculated values
DOS at the Fermi energy   0.252 states/eV/atom
Raw formation energy   -0.746 eV/atom
Total magnetic moment   0.00 μB per cell
Energy relative to the lowest polymorph listed for this composition   0.000 eV per atom
Space group   No. 99

***

Entry 3:
A plane-wave DFT calculation with PBE-GGA was carried out for a relaxed KPuF6 crystal.

a = 5.287 Å, b = 5.287 Å, c = 5.287 Å
α = 96.76°, β = 96.76°, γ = 96.76°
Sites, in units of the cell vectors:
1 K 0.000 0.000 0.000
2 Pu 0.500 0.500 0.500
3 F 0.224 0.224 0.585
4 F 0.224 0.585 0.224
5 F 0.415 0.776 0.776
6 F 0.585 0.224 0.224
7 F 0.776 0.415 0.776
8 F 0.776 0.776 0.415

Calculated values
DOS at the Fermi energy   1.347 states/eV/atom
Raw formation energy   -3.142 eV/atom
Total magnetic moment   3.00 μB per cell
Energy relative to the lowest polymorph listed for this composition   0.020 eV per atom
Space group   No. 166

***

Entry 4:
A plane-wave DFT calculation with PBE-GGA was carried out for a relaxed Sm4Tm4Sc3 crystal.

a = 10.390 Å, b = 6.447 Å, c = 6.447 Å
α = 50.46°, β = 90.00°, γ = 90.00°
Sites, in units of the cell vectors:
1 Sm 0.000 0.000 0.000
2 Sm 0.204 0.798 0.798
3 Sm 0.500 0.916 0.916
4 Sm 0.796 0.798 0.798
5 Tm 0.000 0.591 0.591
6 Tm 0.299 0.139 0.139
7 Tm 0.500 0.636 0.636
8 Tm 0.701 0.139 0.139
9 Sc 0.000 0.296 0.296
10 Sc 0.278 0.448 0.448
11 Sc 0.722 0.448 0.448

Calculated values
ΔE_f   0.180 eV per atom
DOS at the Fermi energy   1.592 states/eV/atom
Total magnetic moment   0.00 μB per cell
Space group   No. 38